Sr2Ca15Mg2 (PBE, relaxed); formation enthalpy at 0 K = 11.5 kJ per mole of atoms; size of the total moment = 0.00 μB per cell
1.0
-8.234 -4.715 -0.598
3.303 -8.098 -3.728
0.700 -5.042 8.030
Ca Sr Mg
15 2 2
direct
0.656 0.656 0.150
0.000 0.300 0.700
0.000 0.700 0.300
0.344 0.344 0.850
0.300 0.000 0.700
0.850 0.344 0.344
0.700 0.300 0.000
0.000 0.500 0.000
0.300 0.700 0.000
0.656 0.150 0.656
0.344 0.850 0.344
0.700 0.000 0.300
0.000 0.000 0.500
0.150 0.656 0.656
0.500 0.000 0.000
0.679 0.679 0.679
0.321 0.321 0.321
0.087 0.087 0.087
0.913 0.913 0.913

LiW2Se (PBE, relaxed); size of the total moment = 0.00 μB per cell; electronic total energy = -29.97 eV/f.u.
1.0
-2.786 0.022 -0.973
-0.847 -1.507 2.392
-1.248 6.607 3.721
Se W Li
1 2 1
direct
0.500 0.500 0.772
0.500 0.500 0.230
0.000 0.000 0.977
0.000 0.000 0.521

Rb2CdHg6Au (PBE, relaxed); formation enthalpy at 0 K = -13.0 kJ per mole of atoms; size of the total moment = 0.00 μB per cell
1.0
8.025 -0.001 -0.002
0.000 8.025 -0.002
4.011 4.011 5.618
Hg Cd Rb Au
6 1 2 1
direct
0.754 0.754 0.000
0.246 0.754 0.000
0.247 0.247 0.507
0.754 0.246 0.000
0.753 0.753 0.493
0.246 0.246 0.000
0.500 0.500 0.000
0.750 0.250 0.500
0.250 0.750 0.500
0.000 0.000 0.000